DFT (PBE) results for an optimized crystal structure of BaAlClF4.

Calculated values
Space-group type: No. 12
Total magnetic moment, μB per formula unit: 0.000
Energy relative to the elements, uncorrected, eV per atom: -3.34
Uncorrected energy, eV/cell: -76.81

Cell and atoms, written as extended XYZ:
```
14
Lattice="5.455 -4.043 0.000 5.455 4.043 0.000 -1.803 0.000 7.285" Properties=species:S:1:pos:R:3 pbc="T T T"
Ba 2.071 0.000 1.061
Ba 7.036 0.000 6.224
Al 2.691 0.000 5.424
Al 6.416 0.000 1.862
Cl -0.951 0.000 5.574
Cl 10.059 0.000 1.712
F 1.995 1.353 6.215
F 2.388 0.000 3.759
F 4.744 0.000 1.573
F 1.995 -1.353 6.215
F 7.113 1.353 1.071
F 4.363 0.000 5.712
F 6.719 0.000 3.526
F 7.113 -1.353 1.071
```

***

DFT (PBE) results for an optimized crystal structure of U3InSe6.

Calculated values
Space-group type: No. 36
Total magnetic moment, μB per formula unit: 7.000
Energy relative to the elements, uncorrected, eV per atom: -0.98
Uncorrected energy, eV/cell: -134.57

Cell and atoms, written as extended XYZ:
```
20
Lattice="5.519 -6.528 0.000 5.519 6.528 0.000 0.000 0.000 7.205" Properties=species:S:1:pos:R:3 pbc="T T T"
U 5.519 5.194 3.602
U 3.502 1.246 4.329
U 3.502 -1.246 0.727
U 7.535 1.246 4.329
U 7.535 -1.246 0.727
U 5.519 -5.194 0.000
In 5.519 3.345 0.865
In 5.519 -3.345 4.467
Se 2.407 2.823 6.530
Se 1.735 0.527 2.171
Se 1.735 -0.527 5.774
Se 5.519 2.904 5.312
Se 2.407 -2.823 2.928
Se 5.519 0.645 2.120
Se 5.519 -0.645 5.723
Se 8.631 2.823 6.530
Se 5.519 -2.904 1.710
Se 9.302 0.527 2.171
Se 9.302 -0.527 5.774
Se 8.631 -2.823 2.928
```

***

DFT (PBE) results for an optimized crystal structure of TaNbTl2Rh.

Calculated values
Space-group type: No. 123
Total magnetic moment, μB per formula unit: 0.000
ΔE_f, eV per atom: 1.180
Uncorrected energy, eV/cell: -28.11

Cell and atoms, written as extended XYZ:
```
5
Lattice="5.002 0.000 0.000 0.000 5.002 0.000 0.000 0.000 4.851" Properties=species:S:1:pos:R:3 pbc="T T T"
Ta 0.000 0.000 0.000
Nb 2.501 2.501 0.000
Tl 0.000 2.501 2.425
Tl 2.501 0.000 2.425
Rh 0.000 0.000 2.425
```

***

DFT (PBE) results for an optimized crystal structure of Sc2BeCu.

Calculated values
Space-group type: No. 12
Total magnetic moment, μB per formula unit: 0.000
ΔE_f, eV per atom: 0.191
Uncorrected energy, eV/cell: -19.72

Cell and atoms, written as extended XYZ:
```
4
Lattice="3.996 -1.627 0.000 3.996 1.627 0.000 -1.312 0.000 5.676" Properties=species:S:1:pos:R:3 pbc="T T T"
Sc 1.669 0.000 1.361
Sc 5.012 0.000 4.315
Be 3.996 0.000 0.000
Cu -0.656 0.000 2.838
```

***

DFT (PBE) results for an optimized crystal structure of Ba6Rh2Br3O.

Calculated values
Space-group type: No. 12
Total magnetic moment, μB per formula unit: 0.000
Energy relative to the elements, uncorrected, eV per atom: -1.31
Uncorrected energy, eV/cell: -51.98

Cell and atoms, written as extended XYZ:
```
12
Lattice="3.819 -6.616 0.000 3.819 6.616 0.000 -2.559 0.000 8.119" Properties=species:S:1:pos:R:3 pbc="T T T"
Ba 1.192 2.065 1.624
Ba -0.182 0.000 6.495
Ba 1.192 -2.065 1.624
Ba 3.887 2.065 6.495
Ba 5.261 0.000 1.624
Ba 3.887 -2.065 6.495
Rh 3.819 2.198 0.000
Rh 3.819 -2.198 0.000
Br 2.539 4.359 4.060
Br 2.539 0.000 4.060
Br 2.539 -4.359 4.060
O 0.000 0.000 0.000
```

***

DFT (PBE) results for an optimized crystal structure of TbDyBePd.

Calculated values
Space-group type: No. 216
Total magnetic moment, μB per formula unit: 0.000
ΔE_f, eV per atom: -0.350
Uncorrected energy, eV/cell: -19.55

Cell and atoms, written as extended XYZ:
```
4
Lattice="0.000 3.482 3.482 3.482 0.000 3.482 3.482 3.482 0.000" Properties=species:S:1:pos:R:3 pbc="T T T"
Tb 0.000 0.000 0.000
Dy 3.482 3.482 3.482
Be 1.741 1.741 1.741
Pd 5.224 5.224 5.224
```

***

DFT (PBE) results for an optimized crystal structure of PmSm2Si.

Calculated values
Space-group type: No. 123
Total magnetic moment, μB per formula unit: 0.000
Energy relative to the elements, uncorrected, eV per atom: -0.22
Uncorrected energy, eV/cell: -20.51

Cell and atoms, written as extended XYZ:
```
4
Lattice="3.907 0.000 0.000 0.000 3.907 0.000 0.000 0.000 7.316" Properties=species:S:1:pos:R:3 pbc="T T T"
Pm 0.000 0.000 0.000
Sm 1.954 1.954 2.195
Sm 1.954 1.954 5.120
Si 0.000 0.000 3.658
```

***

DFT (PBE) results for an optimized crystal structure of FeAsSe.

Calculated values
Space-group type: No. 107
Total magnetic moment, μB per formula unit: 1.121
Energy relative to the elements, uncorrected, eV per atom: 0.01
Uncorrected energy, eV/cell: -16.58

Cell and atoms, written as extended XYZ:
```
3
Lattice="-1.445 1.445 6.701 1.445 -1.445 6.701 1.445 1.445 -6.701" Properties=species:S:1:pos:R:3 pbc="T T T"
Fe 0.000 0.000 0.000
As 0.000 0.000 5.106
Se 0.000 0.000 8.121
```